No. 1
Entry from Alexandria: a relaxed structure of TlInRh2 (PBE-GGA).

Structure (POSCAR):
```
TlInRh2
1.0
4.4810 0.0000 0.0000
0.0000 4.4810 0.0000
0.0000 0.0000 3.4890
Tl In Rh
1 1 2
Direct
0.0000 0.0000 0.0000
0.5000 0.5000 0.0000
0.0000 0.5000 0.5000
0.5000 0.0000 0.5000
```

Results
Total magnetization = 0.000 μB per atom
Energy of formation from the pure elements = -0.1428 eV/atom
DOS(E_F) = 0.39 states/eV per atom
VASP energy = -20.38 eV for the cell shown

---

No. 2
Entry from Alexandria: a relaxed structure of TlInRh2 (PBE-GGA).

Structure (POSCAR):
```
TlInRh2
1.0
0.0000 3.3045 3.3045
3.3045 0.0000 3.3045
3.3045 3.3045 0.0000
Tl In Rh
1 1 2
Direct
0.0000 0.0000 0.0000
0.7500 0.7500 0.7500
0.2500 0.2500 0.2500
0.5000 0.5000 0.5000
```

Results
Total magnetization = 0.000 μB per atom
Energy of formation from the pure elements = 0.2278 eV/atom
DOS(E_F) = 0.93 states/eV per atom
VASP energy = -18.90 eV for the cell shown

---

No. 3
Entry from Alexandria: a relaxed structure of TlIn3Rh4 (PBE-GGA).

Structure (POSCAR):
```
TlIn3Rh4
1.0
2.2996 1.3277 7.5325
-2.2996 1.3277 7.5325
0.0000 -2.6553 7.5325
Tl In Rh
1 3 4
Direct
0.0000 0.0000 0.0000
0.2493 0.2493 0.2493
0.5000 0.5000 0.5000
0.7507 0.7507 0.7507
0.1262 0.1262 0.1262
0.3766 0.3766 0.3766
0.6234 0.6234 0.6234
0.8738 0.8738 0.8738
```

Results
Total magnetization = 0.000 μB per atom
Energy of formation from the pure elements = -0.2729 eV/atom
DOS(E_F) = 0.73 states/eV per atom
VASP energy = -42.17 eV for the cell shown

---

No. 4
Entry from Alexandria: a relaxed structure of TlIn2Rh2 (PBE-GGA).

Structure (POSCAR):
```
TlIn2Rh2
1.0
-2.0518 2.0518 6.2110
2.0518 -2.0518 6.2110
2.0518 2.0518 -6.2110
Tl In Rh
1 2 2
Direct
0.0000 0.0000 0.0000
0.2500 0.7500 0.5000
0.7500 0.2500 0.5000
0.3953 0.3953 0.0000
0.6047 0.6047 0.0000
```

Results
Total magnetization = 0.000 μB per atom
Energy of formation from the pure elements = -0.0134 eV/atom
DOS(E_F) = 0.24 states/eV per atom
Distance to the lowest polymorph of the same formula = 215 meV per atom
VASP energy = -22.61 eV for the cell shown

---

No. 5
Entry from Alexandria: a relaxed structure of Tl2InRh (PBE-GGA).

Structure (POSCAR):
```
Tl2InRh
1.0
3.2417 0.0000 0.0000
0.0000 3.2417 0.0000
0.0000 0.0000 8.9816
Tl In Rh
2 1 1
Direct
0.0000 0.0000 0.1990
0.0000 0.0000 0.8010
0.5000 0.5000 0.5000
0.5000 0.5000 0.0000
```

Results
Total magnetization = 0.000 μB per atom
Energy of formation from the pure elements = 0.1136 eV/atom
DOS(E_F) = 0.66 states/eV per atom
Distance to the lowest polymorph of the same formula = 183 meV per atom
VASP energy = -14.37 eV for the cell shown

---

No. 6
Entry from Alexandria: a relaxed structure of Tl2InRh (PBE-GGA).

Structure (POSCAR):
```
Tl2InRh
1.0
3.3802 0.0000 0.0000
0.0000 5.1690 0.0000
0.0000 0.0000 5.2053
Tl In Rh
2 1 1
Direct
0.0000 0.0000 0.0000
0.5000 0.5000 0.0000
0.0000 0.5000 0.5000
0.5000 0.0000 0.5000
```

Results
Total magnetization = 0.000 μB per atom
Energy of formation from the pure elements = 0.2594 eV/atom
DOS(E_F) = 0.55 states/eV per atom
Distance to the lowest polymorph of the same formula = 329 meV per atom
VASP energy = -13.78 eV for the cell shown

---

No. 7
Entry from Alexandria: a relaxed structure of Tl2InRh (PBE-GGA).

Structure (POSCAR):
```
Tl2InRh
1.0
0.0000 3.5796 3.5796
3.5796 0.0000 3.5796
3.5796 3.5796 0.0000
Tl In Rh
2 1 1
Direct
0.2500 0.2500 0.2500
0.7500 0.7500 0.7500
0.0000 0.0000 0.0000
0.5000 0.5000 0.5000
```

Results
Total magnetization = 0.000 μB per atom
Energy of formation from the pure elements = 0.2778 eV/atom
DOS(E_F) = 0.58 states/eV per atom
Distance to the lowest polymorph of the same formula = 347 meV per atom
VASP energy = -13.71 eV for the cell shown

---

No. 8
Entry from Alexandria: a relaxed structure of TlInRh2 (PBE-GGA).

Structure (POSCAR):
```
TlInRh2
1.0
3.2018 0.0000 0.0000
0.0000 3.4188 0.0000
-0.0094 0.0000 6.4253
Tl In Rh
1 1 2
Direct
0.0000 0.0000 0.0000
0.0000 0.0000 0.5000
0.4991 0.5000 0.7415
0.5009 0.5000 0.2585
```

Results
Total magnetization = 0.000 μB per atom
Energy of formation from the pure elements = -0.1527 eV/atom
DOS(E_F) = 0.45 states/eV per atom
VASP energy = -20.42 eV for the cell shown

---

No. 9
Entry from Alexandria: a relaxed structure of TlInRh3 (PBE-GGA).

Structure (POSCAR):
```
TlInRh3
1.0
4.8906 0.0000 0.0000
0.0000 4.8906 0.0000
0.0000 0.0000 4.8906
Tl In Rh
1 1 3
Direct
0.0000 0.0000 0.0000
0.5000 0.5000 0.5000
0.0000 0.5000 0.5000
0.5000 0.0000 0.5000
0.5000 0.5000 0.0000
```

Results
Total magnetization = 0.198 μB per atom
Energy of formation from the pure elements = 1.0343 eV/atom
DOS(E_F) = 0.63 states/eV per atom
Distance to the lowest polymorph of the same formula = 0 meV per atom
VASP energy = -21.99 eV for the cell shown

---

No. 10
Entry from Alexandria: a relaxed structure of Tl2InRh (PBE-GGA).

Structure (POSCAR):
```
Tl2InRh
1.0
-5.1817 5.1817 2.6007
5.1817 -5.1817 2.6007
5.1817 5.1817 -2.6007
Tl In Rh
4 2 2
Direct
0.3750 0.1237 0.2487
0.8737 0.6250 0.7487
0.8750 0.1263 0.7513
0.8763 0.1250 0.2513
0.2500 0.7500 0.5000
0.5000 0.5000 0.0000
0.0000 0.0000 0.0000
0.7500 0.2500 0.5000
```

Results
Total magnetization = 0.000 μB per atom
Energy of formation from the pure elements = 0.0075 eV/atom
DOS(E_F) = 0.00 states/eV per atom
Distance to the lowest polymorph of the same formula = 77 meV per atom
VASP energy = -29.59 eV for the cell shown

---

No. 11
Entry from Alexandria: a relaxed structure of Tl4InRh2 (PBE-GGA).

Structure (POSCAR):
```
Tl4InRh2
1.0
-2.7607 2.7607 6.8570
2.7607 -2.7607 6.8570
2.7607 2.7607 -6.8570
Tl In Rh
4 1 2
Direct
0.0000 0.5000 0.5000
0.2192 0.2192 0.0000
0.5000 0.0000 0.5000
0.7808 0.7808 0.0000
0.0000 0.0000 0.0000
0.4097 0.4097 0.0000
0.5903 0.5903 0.0000
```

Results
Total magnetization = 0.000 μB per atom
Energy of formation from the pure elements = 0.5319 eV/atom
DOS(E_F) = 0.82 states/eV per atom
VASP energy = -23.18 eV for the cell shown

---

No. 12
Entry from Alexandria: a relaxed structure of Tl2InRh (PBE-GGA).

Structure (POSCAR):
```
Tl2InRh
1.0
3.2567 0.0000 0.0000
0.0000 3.2567 0.0000
0.0000 0.0000 8.9330
Tl In Rh
2 1 1
Direct
0.0000 0.0000 0.0000
0.5000 0.5000 0.3195
0.0000 0.0000 0.6155
0.5000 0.5000 0.7892
```

Results
Total magnetization = 0.000 μB per atom
Energy of formation from the pure elements = -0.0274 eV/atom
DOS(E_F) = 0.62 states/eV per atom
Distance to the lowest polymorph of the same formula = 42 meV per atom
VASP energy = -14.93 eV for the cell shown

---

No. 13
Entry from Alexandria: a relaxed structure of Tl2InRh (PBE-GGA).

Structure (POSCAR):
```
Tl2InRh
1.0
-2.2459 2.2459 4.4497
2.2459 -2.2459 4.4497
2.2459 2.2459 -4.4497
Tl In Rh
2 1 1
Direct
0.2500 0.7500 0.5000
0.7500 0.2500 0.5000
0.0000 0.0000 0.0000
0.5000 0.5000 0.0000
```

Results
Total magnetization = 0.000 μB per atom
Energy of formation from the pure elements = 0.2481 eV/atom
DOS(E_F) = 0.64 states/eV per atom
Distance to the lowest polymorph of the same formula = 317 meV per atom
VASP energy = -13.83 eV for the cell shown

---

No. 14
Entry from Alexandria: a relaxed structure of TlInRh2 (PBE-GGA).

Structure (POSCAR):
```
TlInRh2
1.0
3.1043 0.0000 0.0000
0.0000 3.1043 0.0000
0.0000 0.0000 8.0428
Tl In Rh
1 1 2
Direct
0.0000 0.0000 0.0000
0.5000 0.5000 0.3447
0.0000 0.0000 0.5583
0.5000 0.5000 0.7577
```

Results
Total magnetization = 0.249 μB per atom
Energy of formation from the pure elements = 0.1298 eV/atom
DOS(E_F) = 1.24 states/eV per atom
VASP energy = -19.29 eV for the cell shown

---

No. 15
Entry from Alexandria: a relaxed structure of Tl2InRh (PBE-GGA).

Structure (POSCAR):
```
Tl2InRh
1.0
4.8720 -1.5946 0.0000
4.8720 1.5946 0.0000
-2.5741 0.0000 6.6480
Tl In Rh
2 1 1
Direct
0.0000 0.0000 0.0000
0.1804 0.1804 0.7075
0.8292 0.8292 0.3555
0.5546 0.5546 0.3526
```

Results
Total magnetization = 0.000 μB per atom
Energy of formation from the pure elements = -0.0138 eV/atom
DOS(E_F) = 0.48 states/eV per atom
Distance to the lowest polymorph of the same formula = 55 meV per atom
VASP energy = -14.88 eV for the cell shown